VASP calculation (PBE-GGA) on a relaxed structure of Nd3Er2Hg3.

Magnetization (Bohr magnetons per cell): 0.859
Electronic total energy (eV/atom): -3.39
Space group: Immm
D(E_F) (states/eV/f.u.): 10.30

Cell: 11.6915 11.6915 11.6915 Å, 161.46 152.98 32.97°
Last column: nearest neighbours and their distance in Å.
Element x y z (fractional)
Nd 0.0000 0.0000 0.0000  8 Hg 3.32-3.36
Nd 0.3771 0.8771 0.5000  6 Hg 3.32-3.34, 2 Er 3.70
Nd 0.6229 0.1229 0.5000  6 Hg 3.32-3.34, 2 Er 3.70
Er 0.2340 0.2340 0.0000  2 Hg 3.10, 4 Er 3.39
Er 0.7660 0.7660 0.0000  2 Hg 3.10, 4 Er 3.39
Hg 0.1243 0.6243 0.5000  2 Er 3.10, 6 Nd 3.32-3.36
Hg 0.5000 0.5000 0.0000  8 Nd 3.32-3.34
Hg 0.8757 0.3757 0.5000  2 Er 3.10, 6 Nd 3.32-3.36